# MnIn2W

MnIn2W at its PBEsol-relaxed geometry (meta-GGA SCAN, Alexandria via LeMat-Bulk).

The value obtained for the total DFT energy (no corrections) is -38.269 eV per atom. The value obtained for the formation energy is 0.410 eV per atom.

Geometry as CIF:
```
data_MnIn2W
_cell_length_a 9.426
_cell_length_b 2.912
_cell_length_c 5.213
_cell_angle_alpha 90.00
_cell_angle_beta 101.06
_cell_angle_gamma 90.00
_symmetry_space_group_name_H-M 'C 1 2/m 1'
_symmetry_Int_Tables_number 12
_symmetry_space_group_name_Hall '-C 2y'
loop_
_atom_site_label
_atom_site_type_symbol
_atom_site_fract_x
_atom_site_fract_y
_atom_site_fract_z
Mn1 Mn 0.000 0.000 0.000
In1 In 0.247 0.500 0.249
W1 W 0.000 0.500 0.500
```